Entry from the Alexandria database: an optimized crystal structure of CaMoPN2 (PBE-GGA).

Unit cell a=3.993 b=3.993 c=5.202 alpha=90.00 beta=90.00 gamma=90.00
Space group P4/mmm (No. 123)
Unique sites:
Ca 0.000 0.000 0.000 (multiplicity 1)
Mo 0.500 0.500 0.500 (multiplicity 1)
P 0.000 0.000 0.500 (multiplicity 1)
N 0.000 0.500 0.000 (multiplicity 2)

Fermi-level density of states: 7.37 states/eV per cell
E_form (uncorrected): 2130.9 meV per atom
total magnetization: 0.01 Bohr magnetons per cell

---

Entry from the Alexandria database: an optimized crystal structure of Ca2MoPN5 (PBE-GGA).

Unit cell a=3.051 b=13.674 c=10.983 alpha=90.00 beta=90.00 gamma=90.00
Space group Cmc2_1 (No. 36)
Unique sites:
Ca 0.000 0.080 0.000 (multiplicity 4)
Ca 0.000 0.137 0.673 (multiplicity 4)
Mo 0.000 0.220 0.393 (multiplicity 4)
P 0.000 0.435 0.761 (multiplicity 4)
N 0.000 0.048 0.345 (multiplicity 4)
N 0.000 0.291 0.008 (multiplicity 4)
N 0.000 0.314 0.757 (multiplicity 4)
N 0.000 0.346 0.351 (multiplicity 4)
N 0.000 0.495 0.637 (multiplicity 4)

E_form (uncorrected): -705.4 meV per atom
total magnetization: 0.00 Bohr magnetons per cell

---

Entry from the Alexandria database: an optimized crystal structure of Ca2PaMoN4 (PBE-GGA).

Unit cell a=5.736 b=3.376 c=5.954 alpha=90.00 beta=108.91 gamma=90.00
Space group P2/m (No. 10)
Unique sites:
Ca 0.000 0.000 0.000 (multiplicity 1)
Ca 0.500 0.500 0.000 (multiplicity 1)
Pa 0.000 0.500 0.500 (multiplicity 1)
Mo 0.500 0.000 0.500 (multiplicity 1)
N 0.246 0.000 0.720 (multiplicity 2)
N 0.270 0.500 0.285 (multiplicity 2)

Fermi-level density of states: 3.44 states/eV per cell
E_form (uncorrected): -1080.5 meV per atom
total magnetization: 0.94 Bohr magnetons per cell

---

Entry from the Alexandria database: an optimized crystal structure of Ca3Pa3MoN8 (PBE-GGA).

Unit cell a=6.8797 b=6.8797 c=17.0119 alpha=90.00 beta=90.00 gamma=120.00
Space group R-3m (No. 166, hexagonal axes)
Unique sites:
Ca 0.0000 0.5000 0.0000 (multiplicity 9)
Pa 0.0000 0.5000 0.5000 (multiplicity 9)
Mo 0.0000 0.0000 0.5000 (multiplicity 3)
N 0.0000 0.0000 0.2430 (multiplicity 6)
N 0.0132 0.5066 0.2316 (multiplicity 18)

Fermi-level density of states: 24.12 states/eV per cell
E_form (uncorrected): -1225.1 meV per atom
total magnetization: 5.20 Bohr magnetons per cell